## ZnCr2O5 (PBE with a Hubbard U)

Data for an optimized crystal structure of ZnCr2O5.

Geometry as POSCAR:
```
ZnCr2O5
1.0
3.374 0.000 0.000
-0.277 5.069 0.000
-0.576 -1.281 11.933
Zn Cr O
2 4 10
Cartesian
0.000 0.000 0.000
0.312 3.640 6.771
-0.138 1.067 4.794
0.989 1.039 10.784
1.539 1.889 2.366
2.662 0.921 8.249
-0.145 1.123 2.650
-0.219 1.727 6.566
-0.195 4.466 4.983
1.007 1.563 8.870
1.531 1.290 0.579
0.902 2.724 11.474
1.539 3.473 2.197
1.542 1.772 4.350
2.247 -0.774 7.627
2.684 0.306 10.329
```

Electronic total energy, eV per atom: -6.50
SG: No. 1